Entry 1:
The following is a PBE calculation of crystalline BaPr2PdO5 at its relaxed geometry, from Alexandria.

Lattice parameters (Å, degrees): 6.8630 6.8630 5.9958 90.00 90.00 90.00
With the nearest neighbours (Å) after each atom.
Space group P4/mbm (No. 127)
Symmetry-distinct sites (fractional):
Ba1 0.0000 0.0000 0.0000 (multiplicity 2)  10 O 3.00-3.04
Pr1 0.1737 0.3263 0.5000 (multiplicity 4)  4 O 2.35-2.54
Pd1 0.0000 0.5000 0.0000 (multiplicity 2)  4 O 2.03
O1 0.0000 0.0000 0.5000 (multiplicity 2)  4 Pr 2.54
O2 0.1404 0.6404 0.2502 (multiplicity 8)  1 Pd 2.03

## Properties
The total magnetization comes out at 0.00 μB per formula unit. The calculation puts the formation energy (no corrections) at -246.9 kJ per mole of atoms. The calculation puts the excess energy over the best structure of this formula in the dataset at 0.000 eV per atom. For the total energy, the calculation gives -7.167 eV per atom.

---

Entry 2:
The following is a PBE calculation of crystalline Ba2PrPdO5 at its relaxed geometry, from Alexandria.

Lattice parameters (Å, degrees): 6.8572 6.8572 6.3849 90.00 90.00 90.00
With the nearest neighbours (Å) after each atom.
Space group P4/mbm (No. 127)
Symmetry-distinct sites (fractional):
Ba1 0.1661 0.3339 0.0000 (multiplicity 4)  4 O 2.56
Pr1 0.0000 0.0000 0.5000 (multiplicity 2)  10 O 2.89-3.19
Pd1 0.0000 0.5000 0.5000 (multiplicity 2)  4 O 2.00
O1 0.0000 0.0000 0.0000 (multiplicity 2)  4 Ba 2.56
O2 0.1571 0.6571 0.2973 (multiplicity 8)  1 Pd 2.00

## Properties
The total magnetization comes out at 1.09 μB per formula unit. The calculation puts the formation energy (no corrections) at -183.8 kJ per mole of atoms. For the total energy, the calculation gives -6.195 eV per atom.